(1)
The following is a meta-GGA SCAN calculation of a PBEsol-optimized structure of KBa2P, from Alexandria.

```
data_KBa2P
_symmetry_space_group_name_H-M 'C 1 2/m 1'
_symmetry_Int_Tables_number 12
_cell_length_a 7.928
_cell_length_b 4.577
_cell_length_c 12.064
_cell_angle_alpha 90.00
_cell_angle_beta 102.55
_cell_angle_gamma 90.00
loop_
_symmetry_equiv_pos_as_xyz
'x,y,z'
'-x,-y,-z'
'-x,y,-z'
'x,-y,z'
'x+1/2,y+1/2,z'
'-x+1/2,-y+1/2,-z'
'-x+1/2,y+1/2,-z'
'x+1/2,-y+1/2,z'
loop_
_atom_site_label
_atom_site_type_symbol
_atom_site_fract_x
_atom_site_fract_y
_atom_site_fract_z
_atom_site_occupancy
K1 K 0.000 0.000 0.000 1
Ba1 Ba 0.215 0.000 0.645 1
P1 P 0.000 0.500 0.500 1
```

Output
The value obtained for the energy of formation from the pure elements is -2.90 eV/f.u.

---

(2)
The following is a meta-GGA SCAN calculation of a PBEsol-optimized structure of KBa2P, from Alexandria.

```
data_KBa2P
_symmetry_space_group_name_H-M 'P 4 m m'
_symmetry_Int_Tables_number 99
_cell_length_a 4.457
_cell_length_b 4.457
_cell_length_c 11.262
_cell_angle_alpha 90.00
_cell_angle_beta 90.00
_cell_angle_gamma 90.00
loop_
_symmetry_equiv_pos_as_xyz
'x,y,z'
'-y,x,z'
'-x,-y,z'
'y,-x,z'
'-x,y,z'
'y,x,z'
'x,-y,z'
'-y,-x,z'
loop_
_atom_site_label
_atom_site_type_symbol
_atom_site_fract_x
_atom_site_fract_y
_atom_site_fract_z
_atom_site_occupancy
K1 K 0.000 0.000 0.000 1
Ba1 Ba 0.000 0.000 0.396 1
Ba2 Ba 0.500 0.500 0.690 1
P1 P 0.500 0.500 0.434 1
```

Output
The value obtained for the energy of formation from the pure elements is -1.83 eV/f.u.

---

(3)
The following is a meta-GGA SCAN calculation of a PBEsol-optimized structure of KBa2P, from Alexandria.

```
data_KBa2P
_symmetry_space_group_name_H-M 'I m m m'
_symmetry_Int_Tables_number 71
_symmetry_space_group_name_Hall '-I 2 2'
_cell_length_a 4.149
_cell_length_b 5.981
_cell_length_c 15.507
_cell_angle_alpha 90.00
_cell_angle_beta 90.00
_cell_angle_gamma 90.00
loop_
_atom_site_label
_atom_site_type_symbol
_atom_site_fract_x
_atom_site_fract_y
_atom_site_fract_z
_atom_site_occupancy
K1 K 0.000 0.000 0.000 1
Ba1 Ba 0.000 0.500 0.146 1
P1 P 0.000 0.000 0.500 1
```

Output
The value obtained for the energy of formation from the pure elements is -2.05 eV/f.u.

---

(4)
The following is a meta-GGA SCAN calculation of a PBEsol-optimized structure of KBaPS2, from Alexandria.

```
data_KBaPS2
_symmetry_space_group_name_H-M 'P 4/m m m'
_symmetry_Int_Tables_number 123
_symmetry_space_group_name_Hall '-P 4 2'
_cell_length_a 5.285
_cell_length_b 5.285
_cell_length_c 5.806
_cell_angle_alpha 90.00
_cell_angle_beta 90.00
_cell_angle_gamma 90.00
loop_
_atom_site_label
_atom_site_type_symbol
_atom_site_fract_x
_atom_site_fract_y
_atom_site_fract_z
_atom_site_occupancy
K1 K 0.000 0.000 0.000 1
Ba1 Ba 0.000 0.000 0.500 1
P1 P 0.500 0.500 0.500 1
S1 S 0.000 0.500 0.000 1
```

Output
As for the formation energy (no corrections): 466 meV/atom.

---

(5)
The following is a meta-GGA SCAN calculation of a PBEsol-optimized structure of KBaPS2, from Alexandria.

```
data_KBaPS2
_symmetry_space_group_name_H-M 'P 4/m m m'
_symmetry_Int_Tables_number 123
_symmetry_space_group_name_Hall '-P 4 2'
_cell_length_a 5.350
_cell_length_b 5.350
_cell_length_c 5.073
_cell_angle_alpha 90.00
_cell_angle_beta 90.00
_cell_angle_gamma 90.00
loop_
_atom_site_label
_atom_site_type_symbol
_atom_site_fract_x
_atom_site_fract_y
_atom_site_fract_z
_atom_site_occupancy
K1 K 0.000 0.000 0.000 1
Ba1 Ba 0.500 0.500 0.500 1
P1 P 0.000 0.000 0.500 1
S1 S 0.000 0.500 0.000 1
```

Output
As for the formation energy (no corrections): 65 meV/atom.

---

(6)
The following is a meta-GGA SCAN calculation of a PBEsol-optimized structure of KBaPSe4, from Alexandria.

```
data_KBaPSe4
_symmetry_space_group_name_H-M 'P n m a'
_symmetry_Int_Tables_number 62
_cell_length_a 12.223
_cell_length_b 6.935
_cell_length_c 10.146
_cell_angle_alpha 90.00
_cell_angle_beta 90.00
_cell_angle_gamma 90.00
loop_
_symmetry_equiv_pos_as_xyz
'x,y,z'
'-x,-y,-z'
'-x+1/2,-y,z+1/2'
'x+1/2,y,-z+1/2'
'x+1/2,-y+1/2,-z+1/2'
'-x+1/2,y+1/2,z+1/2'
'-x,y+1/2,-z'
'x,-y+1/2,z'
loop_
_atom_site_label
_atom_site_type_symbol
_atom_site_fract_x
_atom_site_fract_y
_atom_site_fract_z
_atom_site_occupancy
K1 K 0.126 0.250 0.167 1
Ba1 Ba 0.143 0.250 0.617 1
P1 P 0.177 0.750 0.395 1
Se1 Se 0.079 0.750 0.579 1
Se2 Se 0.081 0.750 0.211 1
Se3 Se 0.217 0.507 0.892 1
```

Output
As for the formation energy (no corrections): -1190 meV/atom.

---

(7)
The following is a meta-GGA SCAN calculation of a PBEsol-optimized structure of KBaSnP2, from Alexandria.

```
data_KBaSnP2
_symmetry_space_group_name_H-M 'P 4/m m m'
_symmetry_Int_Tables_number 123
_symmetry_space_group_name_Hall '-P 4 2'
_cell_length_a 5.412
_cell_length_b 5.412
_cell_length_c 5.400
_cell_angle_alpha 90.00
_cell_angle_beta 90.00
_cell_angle_gamma 90.00
loop_
_atom_site_label
_atom_site_type_symbol
_atom_site_fract_x
_atom_site_fract_y
_atom_site_fract_z
_atom_site_occupancy
K1 K 0.000 0.000 0.000 1
Ba1 Ba 0.500 0.500 0.500 1
Sn1 Sn 0.000 0.000 0.500 1
P1 P 0.000 0.500 0.000 1
```

Output
The value obtained for the energy of formation from the pure elements is 3.27 eV/f.u.

---

(8)
The following is a meta-GGA SCAN calculation of a PBEsol-optimized structure of KBaZr2P, from Alexandria.

```
data_KBaZr2P
_symmetry_space_group_name_H-M 'P 4/m m m'
_symmetry_Int_Tables_number 123
_symmetry_space_group_name_Hall '-P 4 2'
_cell_length_a 5.042
_cell_length_b 5.042
_cell_length_c 6.026
_cell_angle_alpha 90.00
_cell_angle_beta 90.00
_cell_angle_gamma 90.00
loop_
_atom_site_label
_atom_site_type_symbol
_atom_site_fract_x
_atom_site_fract_y
_atom_site_fract_z
_atom_site_occupancy
K1 K 0.000 0.000 0.000 1
Ba1 Ba 0.500 0.500 0.000 1
Zr1 Zr 0.000 0.500 0.500 1
P1 P 0.000 0.000 0.500 1
```

Output
The value obtained for the energy of formation from the pure elements is 0.34 eV/f.u.

---

(9)
The following is a meta-GGA SCAN calculation of a PBEsol-optimized structure of KBaPb, from Alexandria.

```
data_KBaPb
_symmetry_space_group_name_H-M 'P 3 m 1'
_symmetry_Int_Tables_number 156
_cell_length_a 4.2037
_cell_length_b 4.2037
_cell_length_c 9.2609
_cell_angle_alpha 90.00
_cell_angle_beta 90.00
_cell_angle_gamma 120.00
loop_
_symmetry_equiv_pos_as_xyz
'x,y,z'
'-y,x-y,z'
'-x+y,-x,z'
'-y,-x,z'
'-x+y,y,z'
'x,x-y,z'
loop_
_atom_site_label
_atom_site_type_symbol
_atom_site_fract_x
_atom_site_fract_y
_atom_site_fract_z
_atom_site_occupancy
K1 K 0.0000 0.0000 0.0000 1
Ba1 Ba 0.6667 0.3333 0.4447 1
Pb1 Pb 0.3333 0.6667 0.7165 1
```

Output
The value obtained for the energy of formation from the pure elements is -0.47 eV/f.u.

---

(10)
The following is a meta-GGA SCAN calculation of a PBEsol-optimized structure of KBaPb4, from Alexandria.

```
data_KBaPb4
_symmetry_space_group_name_H-M 'F -4 3 m'
_symmetry_Int_Tables_number 216
_symmetry_space_group_name_Hall 'F -4 2 3'
_cell_length_a 9.341
_cell_length_b 9.341
_cell_length_c 9.341
_cell_angle_alpha 90.00
_cell_angle_beta 90.00
_cell_angle_gamma 90.00
loop_
_atom_site_label
_atom_site_type_symbol
_atom_site_fract_x
_atom_site_fract_y
_atom_site_fract_z
_atom_site_occupancy
K1 K 0.000 0.000 0.000 1
Ba1 Ba 0.250 0.250 0.750 1
Pb1 Pb 0.124 0.124 0.376 1
```

Output
The value obtained for the energy of formation from the pure elements is -2.88 eV/f.u.

---

(11)
The following is a meta-GGA SCAN calculation of a PBEsol-optimized structure of K2BaPb, from Alexandria.

```
data_K2BaPb
_symmetry_space_group_name_H-M 'P 4/m m m'
_symmetry_Int_Tables_number 123
_symmetry_space_group_name_Hall '-P 4 2'
_cell_length_a 4.785
_cell_length_b 4.785
_cell_length_c 7.917
_cell_angle_alpha 90.00
_cell_angle_beta 90.00
_cell_angle_gamma 90.00
loop_
_atom_site_label
_atom_site_type_symbol
_atom_site_fract_x
_atom_site_fract_y
_atom_site_fract_z
_atom_site_occupancy
K1 K 0.000 0.000 0.203 1
Ba1 Ba 0.500 0.500 0.500 1
Pb1 Pb 0.500 0.500 0.000 1
```

Output
The value obtained for the energy of formation from the pure elements is -0.26 eV/f.u.

---

(12)
The following is a meta-GGA SCAN calculation of a PBEsol-optimized structure of KBaPt2, from Alexandria.

```
data_KBaPt2
_symmetry_space_group_name_H-M 'P m m 2'
_symmetry_Int_Tables_number 25
_cell_length_a 3.049
_cell_length_b 5.705
_cell_length_c 5.705
_cell_angle_alpha 90.00
_cell_angle_beta 90.00
_cell_angle_gamma 90.00
loop_
_symmetry_equiv_pos_as_xyz
'x,y,z'
'-x,-y,z'
'-x,y,z'
'x,-y,z'
loop_
_atom_site_label
_atom_site_type_symbol
_atom_site_fract_x
_atom_site_fract_y
_atom_site_fract_z
_atom_site_occupancy
K1 K 0.000 0.000 0.000 1
Ba1 Ba 0.000 0.500 0.499 1
Pt1 Pt 0.500 0.000 0.500 1
Pt2 Pt 0.500 0.500 0.999 1
```

Output
The value obtained for the energy of formation from the pure elements is -0.64 eV/f.u.

---

(13)
The following is a meta-GGA SCAN calculation of a PBEsol-optimized structure of KBa2Pt, from Alexandria.

```
data_KBa2Pt
_symmetry_space_group_name_H-M 'C 1 2/m 1'
_symmetry_Int_Tables_number 12
_cell_length_a 7.871
_cell_length_b 4.535
_cell_length_c 11.444
_cell_angle_alpha 90.00
_cell_angle_beta 103.03
_cell_angle_gamma 90.00
loop_
_symmetry_equiv_pos_as_xyz
'x,y,z'
'-x,-y,-z'
'-x,y,-z'
'x,-y,z'
'x+1/2,y+1/2,z'
'-x+1/2,-y+1/2,-z'
'-x+1/2,y+1/2,-z'
'x+1/2,-y+1/2,z'
loop_
_atom_site_label
_atom_site_type_symbol
_atom_site_fract_x
_atom_site_fract_y
_atom_site_fract_z
_atom_site_occupancy
K1 K 0.000 0.000 0.000 1
Ba1 Ba 0.215 0.000 0.648 1
Pt1 Pt 0.000 0.500 0.500 1
```

Output
The value obtained for the energy of formation from the pure elements is -2.15 eV/f.u.

---

(14)
The following is a meta-GGA SCAN calculation of a PBEsol-optimized structure of KBaPt2, from Alexandria.

```
data_KBaPt2
_symmetry_space_group_name_H-M 'R -3 m'
_symmetry_Int_Tables_number 166
_symmetry_space_group_name_Hall '-R 3 2"'
_cell_length_a 3.7023
_cell_length_b 3.7023
_cell_length_c 27.5402
_cell_angle_alpha 90.00
_cell_angle_beta 90.00
_cell_angle_gamma 120.00
loop_
_atom_site_label
_atom_site_type_symbol
_atom_site_fract_x
_atom_site_fract_y
_atom_site_fract_z
_atom_site_occupancy
K1 K 0.0000 0.0000 0.0000 1
Ba1 Ba 0.0000 0.0000 0.5000 1
Pt1 Pt 0.0000 0.0000 0.2459 1
```

Output
The value obtained for the energy of formation from the pure elements is 0.68 eV/f.u.

---

(15)
The following is a meta-GGA SCAN calculation of a PBEsol-optimized structure of KBa2Pt, from Alexandria.

```
data_KBa2Pt
_symmetry_space_group_name_H-M 'F m -3 m'
_symmetry_Int_Tables_number 225
_symmetry_space_group_name_Hall '-F 4 2 3'
_cell_length_a 8.095
_cell_length_b 8.095
_cell_length_c 8.095
_cell_angle_alpha 90.00
_cell_angle_beta 90.00
_cell_angle_gamma 90.00
loop_
_atom_site_label
_atom_site_type_symbol
_atom_site_fract_x
_atom_site_fract_y
_atom_site_fract_z
_atom_site_occupancy
K1 K 0.000 0.000 0.000 1
Ba1 Ba 0.250 0.250 0.250 1
Pt1 Pt 0.000 0.000 0.500 1
```

Output
The value obtained for the energy of formation from the pure elements is -0.56 eV/f.u.

---

(16)
The following is a meta-GGA SCAN calculation of a PBEsol-optimized structure of KBa3Pt, from Alexandria.

```
data_KBa3Pt
_symmetry_space_group_name_H-M 'P m -3 m'
_symmetry_Int_Tables_number 221
_symmetry_space_group_name_Hall '-P 4 2 3'
_cell_length_a 6.295
_cell_length_b 6.295
_cell_length_c 6.295
_cell_angle_alpha 90.00
_cell_angle_beta 90.00
_cell_angle_gamma 90.00
loop_
_atom_site_label
_atom_site_type_symbol
_atom_site_fract_x
_atom_site_fract_y
_atom_site_fract_z
_atom_site_occupancy
K1 K 0.000 0.000 0.000 1
Ba1 Ba 0.000 0.500 0.500 1
Pt1 Pt 0.500 0.500 0.500 1
```

Output
The value obtained for the energy of formation from the pure elements is -2.11 eV/f.u.

---

(17)
The following is a meta-GGA SCAN calculation of a PBEsol-optimized structure of K3RbBa, from Alexandria.

```
data_K3RbBa
_symmetry_space_group_name_H-M 'P m -3 m'
_symmetry_Int_Tables_number 221
_symmetry_space_group_name_Hall '-P 4 2 3'
_cell_length_a 7.345
_cell_length_b 7.345
_cell_length_c 7.345
_cell_angle_alpha 90.00
_cell_angle_beta 90.00
_cell_angle_gamma 90.00
loop_
_atom_site_label
_atom_site_type_symbol
_atom_site_fract_x
_atom_site_fract_y
_atom_site_fract_z
_atom_site_occupancy
K1 K 0.000 0.000 0.500 1
Rb1 Rb 0.000 0.000 0.000 1
Ba1 Ba 0.500 0.500 0.500 1
```

Output
The value obtained for the energy of formation from the pure elements is 1.55 eV/f.u.

---

(18)
The following is a meta-GGA SCAN calculation of a PBEsol-optimized structure of KRbBa3, from Alexandria.

```
data_KRbBa3
_symmetry_space_group_name_H-M 'P m -3 m'
_symmetry_Int_Tables_number 221
_symmetry_space_group_name_Hall '-P 4 2 3'
_cell_length_a 7.242
_cell_length_b 7.242
_cell_length_c 7.242
_cell_angle_alpha 90.00
_cell_angle_beta 90.00
_cell_angle_gamma 90.00
loop_
_atom_site_label
_atom_site_type_symbol
_atom_site_fract_x
_atom_site_fract_y
_atom_site_fract_z
_atom_site_occupancy
K1 K 0.000 0.000 0.000 1
Rb1 Rb 0.500 0.500 0.500 1
Ba1 Ba 0.000 0.000 0.500 1
```

Output
The value obtained for the energy of formation from the pure elements is 2.16 eV/f.u.

---

(19)
The following is a meta-GGA SCAN calculation of a PBEsol-optimized structure of KRbBaSb2, from Alexandria.

```
data_KRbBaSb2
_symmetry_space_group_name_H-M 'P 4/m m m'
_symmetry_Int_Tables_number 123
_symmetry_space_group_name_Hall '-P 4 2'
_cell_length_a 6.105
_cell_length_b 6.105
_cell_length_c 5.557
_cell_angle_alpha 90.00
_cell_angle_beta 90.00
_cell_angle_gamma 90.00
loop_
_atom_site_label
_atom_site_type_symbol
_atom_site_fract_x
_atom_site_fract_y
_atom_site_fract_z
_atom_site_occupancy
K1 K 0.000 0.000 0.000 1
Rb1 Rb 0.000 0.000 0.500 1
Ba1 Ba 0.500 0.500 0.500 1
Sb1 Sb 0.000 0.500 0.000 1
```

Output
As for the formation energy (no corrections): -108 meV/atom.

---

(20)
The following is a meta-GGA SCAN calculation of a PBEsol-optimized structure of K2BaRh, from Alexandria.

```
data_K2BaRh
_symmetry_space_group_name_H-M 'P 4/m m m'
_symmetry_Int_Tables_number 123
_symmetry_space_group_name_Hall '-P 4 2'
_cell_length_a 4.660
_cell_length_b 4.660
_cell_length_c 6.526
_cell_angle_alpha 90.00
_cell_angle_beta 90.00
_cell_angle_gamma 90.00
loop_
_atom_site_label
_atom_site_type_symbol
_atom_site_fract_x
_atom_site_fract_y
_atom_site_fract_z
_atom_site_occupancy
K1 K 0.000 0.000 0.211 1
Ba1 Ba 0.500 0.500 0.500 1
Rh1 Rh 0.500 0.500 0.000 1
```

Output
The value obtained for the energy of formation from the pure elements is 2.55 eV/f.u.